# 1
Material: Pu2ThGe
Method: DFT, PBE-GGA
State: optimized geometry

a b c (Å): 3.9233 3.9233 6.4640
angles (deg): 90.00 90.00 90.00
With the nearest neighbours (Å) after each atom.
Positions (direct):
Ge  0.5000  0.5000  0.0000  8 Pu 3.11, 2 Th 3.23
Pu  0.0000  0.0000  0.7834  1 Pu 2.80, 4 Ge 3.11
Pu  0.0000  0.0000  0.2166  1 Pu 2.80, 4 Ge 3.11
Th  0.5000  0.5000  0.5000  2 Ge 3.23, 8 Pu 3.32

Values from the calculation:
As for the formation energy: -20.9 kJ per mole of atoms. Its symmetry is P4/mmm, No. 123. For the total magnetization, the calculation gives 11.34 Bohr magnetons per cell.

=====

# 2
Material: Pu6ThGe6
Method: DFT, PBE-GGA
State: optimized geometry

a b c (Å): 6.0867 6.0867 9.9158
angles (deg): 90.00 90.00 120.00
With the nearest neighbours (Å) after each atom.
Positions (direct):
Pu  0.5000  0.5000  0.2516  6 Ge 3.03-3.08, 4 Pu 3.04
Pu  0.5000  0.0000  0.2516  6 Ge 3.03-3.08, 4 Pu 3.04
Pu  0.5000  0.5000  0.7484  6 Ge 3.03-3.08, 4 Pu 3.04
Pu  0.0000  0.5000  0.7485  6 Ge 3.03-3.08, 4 Pu 3.04
Pu  0.0000  0.5000  0.2515  6 Ge 3.03-3.08, 4 Pu 3.04
Pu  0.5000  0.0000  0.7484  6 Ge 3.03-3.08, 4 Pu 3.04
Ge  0.6667  0.3333  0.5000  6 Pu 3.03
Ge  0.0000  0.0000  0.2971  1 Th 2.95, 6 Pu 3.08
Ge  0.0000  0.0000  0.7029  1 Th 2.95, 6 Pu 3.08
Ge  0.6667  0.3333  0.0000  6 Pu 3.05
Ge  0.3332  0.6667  0.5000  6 Pu 3.03
Ge  0.3333  0.6667  0.0000  6 Pu 3.05
Th  0.0000  0.0000  0.0000  2 Ge 2.95

Values from the calculation:
As for the formation energy: -19.0 kJ per mole of atoms. Its symmetry is P6/mmm, No. 191. For the total magnetization, the calculation gives 31.78 Bohr magnetons per cell.